No. 1
{"formula": "Th6SnRu2", "functional": "PBE-GGA", "state": "relaxed", "energy_ha_per_atom": -0.2854, "m_tot_mub_per_cell": 0.00, "ef_ev_per_fu": -2.8, "lattice": [[7.9775, -5.1682, 0.0000], [7.9775, 5.1682, 0.0000], [-1.4380, 0.0000, 6.1010]], "species": ["Th", "Th", "Th", "Th", "Th", "Th", "Th", "Th", "Th", "Th", "Th", "Th", "Sn", "Sn", "Ru", "Ru", "Ru", "Ru"], "fractional_positions": [[0.0231, 0.1755, 0.1714], [0.0561, 0.5562, 0.2875], [0.1755, 0.0231, 0.6714], [0.3246, 0.4767, 0.8281], [0.4438, 0.9439, 0.2125], [0.4767, 0.3246, 0.3281], [0.5233, 0.6754, 0.6719], [0.5562, 0.0561, 0.7875], [0.6754, 0.5233, 0.1719], [0.8245, 0.9769, 0.3286], [0.9439, 0.4438, 0.7125], [0.9769, 0.8245, 0.8286], [0.2504, 0.7496, 0.2500], [0.7496, 0.2504, 0.7500], [0.2465, 0.2535, 0.9996], [0.2535, 0.2465, 0.4996], [0.7465, 0.7535, 0.5004], [0.7535, 0.7465, 0.0004]]}

=====

No. 2
{"formula": "Er5Tm2Th4", "functional": "PBE-GGA", "state": "relaxed", "energy_ha_per_atom": -0.1980, "m_tot_mub_per_cell": 0.00, "ef_ev_per_fu": 2.2, "lattice": [[8.3072, -3.2995, 0.0000], [8.3072, 3.2995, 0.0000], [-1.1525, 0.0000, 6.4401]], "species": ["Er", "Er", "Er", "Er", "Er", "Tm", "Tm", "Th", "Th", "Th", "Th"], "fractional_positions": [[0.0000, 0.0000, 0.0000], [0.1747, 0.6544, 0.5938], [0.3456, 0.8253, 0.4062], [0.6544, 0.1747, 0.5938], [0.8253, 0.3456, 0.4062], [0.1950, 0.1950, 0.8181], [0.8050, 0.8050, 0.1819], [0.2477, 0.2477, 0.3366], [0.4047, 0.4047, 0.0883], [0.5953, 0.5953, 0.9117], [0.7523, 0.7523, 0.6634]]}

=====

No. 3
{"formula": "Nd2SCl", "functional": "PBE-GGA", "state": "relaxed", "energy_ha_per_atom": -0.2050, "m_tot_mub_per_cell": 0.00, "raw_formation_energy_ev_per_atom": -1.7008, "lattice": [[1.9924, 1.1503, 7.2060], [-1.9924, 1.1503, 7.2060], [0.0000, -2.3006, 7.2060]], "species": ["Nd", "Nd", "S", "Cl"], "fractional_positions": [[0.2377, 0.2377, 0.2377], [0.7623, 0.7623, 0.7623], [0.5000, 0.5000, 0.5000], [0.0000, 0.0000, 0.0000]]}